Entry 1:
Crystalline KCr2Cu at its relaxed geometry, computed with GGA-PBE.

Lattice parameters (Å, degrees): 2.981 4.624 9.472 90.00 90.00 90.00
Space group Cmm2 (No. 35)
Symmetry-distinct sites (fractional):
K  0.000  0.000  0.000 x2
Cr  0.000  0.000  0.489 x2
Cr  0.000  0.500  0.319 x2
Cu  0.000  0.500  0.705 x2

Values from the calculation:
- energy above the lowest structure with this stoichiometry (eV/atom) = 0.177
- theoretical density (g/cm3) = 5.3
- formation energy from the elements (kJ/mol of atoms) = 79
- density of states at the Fermi level (states/eV per cell) = 6.877
- E (eV/atom) = -5.291

---

Entry 2:
Crystalline V5CrW2 at its relaxed geometry, computed with GGA-PBE.

Lattice parameters (Å, degrees): 4.282 4.282 12.088 90.00 90.00 90.00
Space group I4/mmm (No. 139)
Symmetry-distinct sites (fractional):
V  0.000  0.000  0.000 x2
V  0.000  0.500  0.120 x8
Cr  0.000  0.000  0.500 x2
W  0.000  0.000  0.249 x4

Values from the calculation:
- energy above the lowest structure with this stoichiometry (eV/atom) = 0.000
- theoretical density (g/cm3) = 10.1
- formation energy from the elements (kJ/mol of atoms) = -4
- density of states at the Fermi level (states/eV per cell) = 20.991
- E (eV/atom) = -10.184

---

Entry 3:
Crystalline KAc2Hg at its relaxed geometry, computed with GGA-PBE.

Lattice parameters (Å, degrees): 4.0652 4.0652 39.3381 90.00 90.00 120.00
Space group R-3m (No. 166, hexagonal axes)
Symmetry-distinct sites (fractional):
K  0.0000  0.0000  0.0000 x3
Ac  0.0000  0.0000  0.1056 x6
Hg  0.0000  0.0000  0.5000 x3

Values from the calculation:
- theoretical density (g/cm3) = 6.1
- formation energy from the elements (kJ/mol of atoms) = 0
- density of states at the Fermi level (states/eV per cell) = 16.515
- E (eV/atom) = -2.400

---

Entry 4:
Crystalline CrNiSb3 at its relaxed geometry, computed with GGA-PBE.

Lattice parameters (Å, degrees): 4.943 4.943 4.943 90.00 90.00 90.00
Space group Pm-3m (No. 221)
Symmetry-distinct sites (fractional):
Cr  0.000  0.000  0.000 x1
Ni  0.500  0.500  0.500 x1
Sb  0.000  0.000  0.500 x3

Values from the calculation:
- energy above the lowest structure with this stoichiometry (eV/atom) = 0.000
- theoretical density (g/cm3) = 6.5
- density of states at the Fermi level (states/eV per cell) = 3.885
- E (eV/atom) = -4.790
- formation energy (no corrections) (kcal/mol of atoms) = 17.62